# 1
This record from Alexandria describes Ca3Se at its PBEsol-relaxed geometry. The functional is SCAN.

Properties
formation energy from raw total energies = -0.92 eV/atom
E above lowest polymorph = 0.0000 eV per atom

a b c (Å): 5.1324 5.1708 9.5038
angles (deg): 90.00 90.00 90.00
Space group Cmmm (No. 65)
Asymmetric unit:
Ca: 0.0000 0.0000 0.0000
Ca: 0.0000 0.5000 0.3201
Se: 0.0000 0.0000 0.5000

# 2
This record from Alexandria describes Cs2AgSbCl6 at its PBEsol-relaxed geometry. The functional is SCAN.

Properties
formation energy from raw total energies = -1.44 eV/atom

a b c (Å): 10.5588 10.5588 10.5588
angles (deg): 90.00 90.00 90.00
Space group Fm-3m (No. 225)
Asymmetric unit:
Cs: 0.2500 0.2500 0.2500
Ag: 0.0000 0.0000 0.0000
Sb: 0.0000 0.0000 0.5000
Cl: 0.0000 0.0000 0.2502

# 3
This record from Alexandria describes CsZrIr3 at its PBEsol-relaxed geometry. The functional is SCAN.

Properties
formation enthalpy at 0 K = 2.726 eV per atom

a b c (Å): 4.8517 4.8517 4.8517
angles (deg): 90.00 90.00 90.00
Space group Pm-3m (No. 221)
Asymmetric unit:
Cs: 0.0000 0.0000 0.0000
Zr: 0.5000 0.5000 0.5000
Ir: 0.0000 0.0000 0.5000

What is the formula in the second record?
Cs2AgSbCl6